# 1
A geometry-optimized Li2PrHgAu2 structure. Source: Alexandria via LeMat-Bulk, functional PBE-GGA.

Cell: 4.617 4.617 6.739 Å, 90.00 90.00 120.00°
Atoms (fractional coordinates):
Hg: 0.000 0.000 0.500
Li: 0.333 0.667 0.654
Au: 0.667 0.333 0.748
Au: 0.333 0.667 0.252
Li: 0.667 0.333 0.346
Pr: 0.000 0.000 0.000

## Properties
D(E_F) ... 0.633 states/eV per atom
Electronic total energy ... -3.131 eV per atom
Crystal system ... trigonal
ΔH_f (0 K) ... -0.55 eV per atom

# 2
A geometry-optimized Li2PuHgAu2 structure. Source: Alexandria via LeMat-Bulk, functional PBE-GGA.

Cell: 4.588 4.588 6.674 Å, 90.00 90.00 120.00°
Atoms (fractional coordinates):
Au: 0.333 0.667 0.239
Pu: 0.000 0.000 0.000
Li: 0.667 0.333 0.347
Hg: 0.000 0.000 0.500
Au: 0.667 0.333 0.761
Li: 0.333 0.667 0.653

## Properties
D(E_F) ... 2.750 states/eV per atom
Electronic total energy ... -4.557 eV per atom
Crystal system ... trigonal
ΔH_f (0 K) ... -0.39 eV per atom

# 3
A geometry-optimized LiPuHgAu structure. Source: Alexandria via LeMat-Bulk, functional PBE-GGA.

Cell: 3.318 3.318 7.506 Å, 90.00 90.00 90.00°
Atoms (fractional coordinates):
Au: 0.000 0.000 0.526
Pu: 0.500 0.500 0.804
Li: 0.500 0.500 0.339
Hg: 0.000 0.000 0.116

## Properties
Energy above the most stable polymorph in this dataset ... 0.0 kJ per mole of atoms
D(E_F) ... 1.887 states/eV per atom
Electronic total energy ... -5.319 eV per atom
Crystal system ... tetragonal
ΔH_f (0 K) ... -0.36 eV per atom

# 4
A geometry-optimized LiPuHgAu structure. Source: Alexandria via LeMat-Bulk, functional PBE-GGA.

Cell: 4.960 4.960 4.960 Å, 60.00 60.00 60.00°
Atoms (fractional coordinates):
Pu: 0.750 0.750 0.750
Li: 0.500 0.500 0.500
Au: 0.000 0.000 0.000
Hg: 0.250 0.250 0.250

## Properties
Energy above the most stable polymorph in this dataset ... 16.5 kJ per mole of atoms
D(E_F) ... 3.172 states/eV per atom
Electronic total energy ... -5.147 eV per atom
Crystal system ... cubic
ΔH_f (0 K) ... -0.19 eV per atom

# 5
A geometry-optimized LiHg2AuS structure. Source: Alexandria via LeMat-Bulk, functional PBE-GGA.

Cell: 5.263 4.466 5.263 Å, 90.00 90.00 90.00°
Atoms (fractional coordinates):
Hg: 0.500 0.000 0.000
Au: 0.500 0.500 0.500
Li: 0.000 0.500 0.000
Hg: 0.000 0.000 0.500
S: 0.000 0.000 0.000

## Properties
D(E_F) ... 0.183 states/eV per atom
Electronic total energy ... -2.011 eV per atom
Formation energy (no corrections) ... -0.03 eV per atom
Crystal system ... tetragonal

# 6
A geometry-optimized LiHgSbAu structure. Source: Alexandria via LeMat-Bulk, functional PBE-GGA.

Cell: 4.559 4.558 5.958 Å, 67.42 67.51 59.99°
Atoms (fractional coordinates):
Hg: 0.967 0.253 0.814
Sb: 0.528 0.813 0.132
Li: 0.741 0.025 0.494
Au: 0.143 0.427 0.287

## Properties
Energy above the most stable polymorph in this dataset ... 0.0 kJ per mole of atoms
D(E_F) ... 0.312 states/eV per atom
Electronic total energy ... -2.667 eV per atom
Formation energy (no corrections) ... -0.26 eV per atom
Crystal system ... monoclinic

# 7
A geometry-optimized LiHgSbAu structure. Source: Alexandria via LeMat-Bulk, functional PBE-GGA.

Cell: 4.938 4.938 4.938 Å, 60.00 60.00 60.00°
Atoms (fractional coordinates):
Hg: 0.500 0.500 0.500
Au: 0.000 0.000 0.000
Sb: 0.750 0.750 0.750
Li: 0.250 0.250 0.250

## Properties
Energy above the most stable polymorph in this dataset ... 9.9 kJ per mole of atoms
D(E_F) ... 0.609 states/eV per atom
Electronic total energy ... -2.565 eV per atom
Formation energy (no corrections) ... -0.16 eV per atom
Crystal system ... cubic

# 8
A geometry-optimized LiScHgAu structure. Source: Alexandria via LeMat-Bulk, functional PBE-GGA.

Cell: 3.355 3.355 6.701 Å, 90.00 90.00 90.00°
Atoms (fractional coordinates):
Hg: 0.000 0.000 0.879
Sc: 0.500 0.500 0.587
Au: 0.000 0.000 0.347
Li: 0.500 0.500 0.115

## Properties
D(E_F) ... 0.583 states/eV per atom
Electronic total energy ... -3.486 eV per atom
Crystal system ... tetragonal
ΔH_f (0 K) ... -0.53 eV per atom

# 9
A geometry-optimized Li2SmHgAu2 structure. Source: Alexandria via LeMat-Bulk, functional PBE-GGA.

Cell: 4.594 4.594 6.613 Å, 90.00 90.00 120.00°
Atoms (fractional coordinates):
Li: 0.667 0.333 0.343
Li: 0.333 0.667 0.657
Sm: 0.000 0.000 0.000
Hg: 0.000 0.000 0.500
Au: 0.333 0.667 0.243
Au: 0.667 0.333 0.757

## Properties
D(E_F) ... 0.648 states/eV per atom
Electronic total energy ... -3.126 eV per atom
Crystal system ... trigonal
ΔH_f (0 K) ... -0.56 eV per atom

# 10
A geometry-optimized Li2SmHg2Au2 structure. Source: Alexandria via LeMat-Bulk, functional PBE-GGA.

Cell: 4.755 4.755 7.887 Å, 72.46 72.46 60.00°
Atoms (fractional coordinates):
Au: 0.566 0.566 0.302
Li: 0.145 0.145 0.566
Au: 0.434 0.434 0.698
Hg: 0.734 0.734 0.797
Sm: 0.000 0.000 0.000
Hg: 0.266 0.266 0.203
Li: 0.855 0.855 0.434

## Properties
D(E_F) ... 0.522 states/eV per atom
Electronic total energy ... -2.653 eV per atom
Crystal system ... trigonal
ΔH_f (0 K) ... -0.41 eV per atom

# 11
A geometry-optimized LiSmHgAu structure. Source: Alexandria via LeMat-Bulk, functional PBE-GGA.

Cell: 5.018 5.018 5.018 Å, 60.00 60.00 60.00°
Atoms (fractional coordinates):
Li: 0.250 0.250 0.250
Sm: 0.750 0.750 0.750
Au: 0.000 0.000 0.000
Hg: 0.500 0.500 0.500

## Properties
D(E_F) ... 0.769 states/eV per atom
Electronic total energy ... -3.098 eV per atom
Crystal system ... cubic
ΔH_f (0 K) ... -0.54 eV per atom

# 12
A geometry-optimized LiSnHgAu structure. Source: Alexandria via LeMat-Bulk, functional PBE-GGA.

Cell: 4.897 4.897 4.897 Å, 60.00 60.00 60.00°
Atoms (fractional coordinates):
Hg: 0.500 0.500 0.500
Au: 0.000 0.000 0.000
Li: 0.750 0.750 0.750
Sn: 0.250 0.250 0.250

## Properties
D(E_F) ... 0.363 states/eV per atom
Electronic total energy ... -2.620 eV per atom
Crystal system ... cubic
ΔH_f (0 K) ... -0.25 eV per atom